# 1
VASP calculation (PBE) on an optimized crystal structure of BaSi2SnP.

Summary:
final energy	-3.597	eV per atom
formation energy without anion corrections	839	meV per atom

abc: 5.0632 5.0632 6.7795
angles: 90.00 90.00 90.00
Space group P4/mmm (No. 123)
Inequivalent atoms, fractional coordinates:
1 Ba 0.0000 0.0000 0.0000 [1 per cell]
2 Si 0.0000 0.5000 0.5000 [2 per cell]
3 Sn 0.0000 0.0000 0.5000 [1 per cell]
4 P 0.5000 0.5000 0.0000 [1 per cell]

---

# 2
VASP calculation (PBE) on an optimized crystal structure of Fe2HgRu.

Summary:
final energy	-6.229	eV per atom

abc: 3.9643 3.9643 3.7685
angles: 90.00 90.00 90.00
Space group P4/mmm (No. 123)
Inequivalent atoms, fractional coordinates:
1 Fe 0.0000 0.5000 0.0000 [2 per cell]
2 Hg 0.0000 0.0000 0.5000 [1 per cell]
3 Ru 0.5000 0.5000 0.5000 [1 per cell]

---

# 3
VASP calculation (PBE) on an optimized crystal structure of AcInF4.

Summary:
offset from the most stable computed form	0.178	eV per atom
final energy	-5.519	eV per atom
formation energy without anion corrections	-3130	meV per atom

abc: 8.2981 8.2981 3.5155
angles: 90.00 90.00 90.00
Space group I-4 (No. 82)
Inequivalent atoms, fractional coordinates:
1 Ac 0.0000 0.0000 0.0000 [2 per cell]
2 In 0.0000 0.5000 0.2500 [2 per cell]
3 F 0.0557 0.2159 0.5177 [8 per cell]

---

# 4
VASP calculation (PBE) on an optimized crystal structure of Rb2LaHgRh.

Summary:
offset from the most stable computed form	0.000	eV per atom
final energy	-2.784	eV per atom

abc: 6.8279 6.8279 5.0666
angles: 90.00 90.00 90.00
Space group P4/mmm (No. 123)
Inequivalent atoms, fractional coordinates:
1 Rb 0.0000 0.5000 0.0000 [2 per cell]
2 La 0.0000 0.0000 0.5000 [1 per cell]
3 Hg 0.5000 0.5000 0.5000 [1 per cell]
4 Rh 0.0000 0.0000 0.0000 [1 per cell]

---

# 5
VASP calculation (PBE) on an optimized crystal structure of CrNiAs2.

Summary:
offset from the most stable computed form	0.187	eV per atom
final energy	-6.108	eV per atom

abc: 3.0670 3.0670 5.7951
angles: 90.00 90.00 90.00
Space group P4/mmm (No. 123)
Inequivalent atoms, fractional coordinates:
1 Cr 0.0000 0.0000 0.0000 [1 per cell]
2 Ni 0.0000 0.0000 0.5000 [1 per cell]
3 As 0.5000 0.5000 0.2439 [2 per cell]

---

# 6
VASP calculation (PBE) on an optimized crystal structure of HoMgIn3.

Summary:
final energy	-2.984	eV per atom

abc: 10.2514 3.3309 8.1898
angles: 90.00 90.00 90.00
Space group Pmma (No. 51)
Inequivalent atoms, fractional coordinates:
1 Ho 0.2500 0.0000 0.0971 [2 per cell]
2 Mg 0.2500 0.5000 0.7256 [2 per cell]
3 In 0.0000 0.5000 0.0000 [2 per cell]
4 In 0.0967 0.5000 0.3752 [4 per cell]

---

# 7
VASP calculation (PBE) on an optimized crystal structure of ThTaGe2Os.

Summary:
final energy	-8.338	eV per atom

abc: 4.1249 4.1249 11.4112
angles: 90.00 90.00 90.00
Space group I-4m2 (No. 119)
Inequivalent atoms, fractional coordinates:
1 Th 0.0000 0.0000 0.0000 [2 per cell]
2 Ta 0.0000 0.5000 0.2500 [2 per cell]
3 Ge 0.0000 0.0000 0.3882 [4 per cell]
4 Os 0.0000 0.5000 0.7500 [2 per cell]

---

# 8
VASP calculation (PBE) on an optimized crystal structure of TlCu2Pd9.

Summary:
final energy	-4.857	eV per atom

abc: 3.9661 3.9661 11.8248
angles: 90.00 90.00 90.00
Space group P4/mmm (No. 123)
Inequivalent atoms, fractional coordinates:
1 Tl 0.0000 0.0000 0.0000 [1 per cell]
2 Cu 0.0000 0.0000 0.3401 [2 per cell]
3 Pd 0.0000 0.5000 0.1805 [4 per cell]
4 Pd 0.0000 0.5000 0.5000 [2 per cell]
5 Pd 0.5000 0.5000 0.0000 [1 per cell]
6 Pd 0.5000 0.5000 0.3408 [2 per cell]